## TaAlNi2 (meta-GGA SCAN)

Data for TaAlNi2 at its PBEsol-relaxed geometry.

Output
symmetry	P4/mmm, No. 123
formation energy from the elements	-0.5001	eV/atom
total energy	-27.17	eV per atom
volume	12.7	Å³ per atom

a b c (Å): 2.782 2.782 6.580
angles (deg): 90.00 90.00 90.00
Fractional coordinates of all 4 atoms:
1 Ta 0.000 0.000 0.000
2 Al 0.000 0.000 0.500
3 Ni 0.500 0.500 0.277
4 Ni 0.500 0.500 0.723